# 1
DFT (PBE-GGA) results for CsH6S2 after structural relaxation.

The calculation puts the density of states at the Fermi level at 0.2334 states/eV per atom.

Cell lengths 6.4992, 5.7130, 5.7130 Å; angles 66.52, 62.00, 62.00 degrees
Atoms (fractional coordinates):
Cs 0.0000 0.0000 0.0000
H 0.4012 0.9625 0.2713
H 0.5988 0.0375 0.7287
H 0.5988 0.7287 0.0375
H 0.5000 0.4371 0.5629
H 0.5000 0.5629 0.4371
H 0.4012 0.2713 0.9625
S 0.2882 0.2477 0.2477
S 0.7118 0.7523 0.7523

# 2
DFT (PBE-GGA) results for CsH2S after structural relaxation.

The calculation puts the density of states at the Fermi level at 0.2349 states/eV per atom. The value obtained for the energy above the most stable polymorph in this dataset is 0 meV/atom.

Cell lengths 4.9533, 9.2169, 4.7307 Å; angles 90.00, 90.00, 105.58 degrees
Atoms (fractional coordinates):
Cs 0.9015 0.8030 0.2500
Cs 0.0985 0.1970 0.7500
H 0.2657 0.5313 0.3297
H 0.7343 0.4687 0.6703
H 0.2657 0.5313 0.1703
H 0.7343 0.4687 0.8297
S 0.4777 0.9554 0.7500
S 0.5223 0.0446 0.2500

# 3
DFT (PBE-GGA) results for CsH2S after structural relaxation.

The value obtained for the energy above the most stable polymorph in this dataset is 311 meV/atom.

Cell lengths 5.6036, 5.6036, 4.7534 Å; angles 53.88, 53.88, 60.00 degrees
Each line ends with the local moment (μB).
Atoms (fractional coordinates):
Cs 0.5000 0.5000 0.5000  0.01
H 0.1446 0.1446 0.5662  0.17
H 0.8554 0.8554 0.4338  0.17
S 0.0000 0.0000 0.0000  0.07

# 4
DFT (PBE-GGA) results for CsHS5 after structural relaxation.

The calculation puts the density of states at the Fermi level at 0.3480 states/eV per atom.

Cell lengths 9.5333, 4.8231, 9.9825 Å; angles 79.38, 105.19, 153.13 degrees
Atoms (fractional coordinates):
Cs 0.7501 0.7501 0.5003
H 0.8709 0.3709 0.7418
S 0.8826 0.9242 0.0803
S 0.1026 0.6026 0.2051
S 0.1977 0.1562 0.0803
S 0.4826 0.7599 0.7267
S 0.2441 0.9668 0.7267

# 5
DFT (PBE-GGA) results for Cs3H2S after structural relaxation.

The calculation puts the density of states at the Fermi level at 0.3195 states/eV per atom.

Cell lengths 5.3859, 6.9824, 17.9456 Å; angles 117.73, 98.63, 90.00 degrees
Atoms (fractional coordinates):
Cs 0.2016 0.1367 0.4032
Cs 0.0476 0.8661 0.0952
Cs 0.3969 0.5221 0.7938
Cs 0.7984 0.8633 0.5968
Cs 0.6031 0.4779 0.2062
Cs 0.9524 0.1339 0.9048
H 0.3447 0.7896 0.6893
H 0.6553 0.2104 0.3107
H 0.9509 0.6397 0.9017
H 0.0491 0.3603 0.0983
S 0.3804 0.9877 0.7608
S 0.6196 0.0123 0.2392

# 6
DFT (PBE-GGA) results for Cs3H4S after structural relaxation.

The calculation puts the density of states at the Fermi level at 0.2191 states/eV per atom.

Cell lengths 4.5376, 5.8277, 10.3103 Å; angles 104.53, 102.71, 90.00 degrees
Atoms (fractional coordinates):
Cs 0.0000 0.5000 0.0000
Cs 0.1394 0.1313 0.2787
Cs 0.8606 0.8687 0.7213
H 0.3829 0.2989 0.7658
H 0.6171 0.7011 0.2342
H 0.5876 0.7671 0.1751
H 0.4124 0.2329 0.8249
S 0.5000 0.0000 0.0000

# 7
DFT (PBE-GGA) results for Cs3HS after structural relaxation.

The calculation puts the density of states at the Fermi level at 0.0000 states/eV per atom. The value obtained for the energy above the most stable polymorph in this dataset is 0 meV/atom.

Cell lengths 4.8125, 7.9876, 10.2951 Å; angles 90.00, 90.00, 90.00 degrees
Atoms (fractional coordinates):
Cs 0.7500 0.7500 0.0544
Cs 0.2500 0.2500 0.9456
Cs 0.7500 0.9848 0.6631
Cs 0.7500 0.5152 0.6631
Cs 0.2500 0.0152 0.3369
Cs 0.2500 0.4848 0.3369
H 0.7500 0.7500 0.4105
H 0.2500 0.2500 0.5895
S 0.7500 0.2500 0.1704
S 0.2500 0.7500 0.8296

# 8
DFT (PBE-GGA) results for CsH2S after structural relaxation.

The calculation puts the density of states at the Fermi level at 0.2569 states/eV per atom. The value obtained for the energy above the most stable polymorph in this dataset is 512 meV/atom.

Cell lengths 4.9202, 4.9202, 7.1958 Å; angles 70.01, 70.01, 90.00 degrees
Atoms (fractional coordinates):
Cs 0.0000 0.0000 0.0000
Cs 0.7500 0.2500 0.5000
H 0.3750 0.1250 0.2500
H 0.3750 0.6250 0.2500
H 0.3750 0.6250 0.7500
H 0.8750 0.6250 0.7500
S 0.5000 0.5000 0.0000
S 0.2500 0.7500 0.5000

# 9
DFT (PBE-GGA) results for Cs2HS2 after structural relaxation.

Cell lengths 5.7943, 11.4746, 10.2084 Å; angles 90.00, 90.00, 90.00 degrees
Atoms (fractional coordinates):
Cs 0.7500 0.6684 0.4892
Cs 0.2500 0.8316 0.9892
Cs 0.2500 0.3316 0.5108
Cs 0.7500 0.1684 0.0108
Cs 0.7500 0.0132 0.3702
Cs 0.2500 0.4868 0.8702
Cs 0.2500 0.9868 0.6298
Cs 0.7500 0.5132 0.1298
H 0.7500 0.2909 0.7120
H 0.2500 0.2091 0.2120
H 0.2500 0.7091 0.2880
H 0.7500 0.7909 0.7880
S 0.7500 0.4337 0.7127
S 0.2500 0.0663 0.2127
S 0.2500 0.5663 0.2873
S 0.7500 0.9337 0.7873
S 0.7500 0.6544 0.8195
S 0.2500 0.8456 0.3195
S 0.2500 0.3456 0.1805
S 0.7500 0.1544 0.6805

# 10
DFT (PBE-GGA) results for CsH2S2 after structural relaxation.

The calculation puts the density of states at the Fermi level at 0.3855 states/eV per atom.

Cell lengths 3.1775, 5.9431, 6.2810 Å; angles 116.95, 90.00, 90.00 degrees
Each line ends with the local moment (μB).
Atoms (fractional coordinates):
Cs 0.2000 0.0046 0.0410  0.00
H 0.2000 0.6606 0.3511  0.00
H 0.7000 0.3973 0.6623  0.00
S 0.2000 0.3274 0.6869  0.18
S 0.7000 0.6099 0.2587  0.14

# 11
DFT (PBE-GGA) results for CsHS after structural relaxation.

The calculation puts the density of states at the Fermi level at 0.0000 states/eV per atom.

Cell lengths 5.0613, 5.0613, 5.4236 Å; angles 117.81, 117.81, 90.00 degrees
Atoms (fractional coordinates):
Cs 0.9446 0.9446 0.8892
H 0.5355 0.5355 0.0709
S 0.3699 0.3699 0.7398

# 12
DFT (PBE-GGA) results for Cs6H4S after structural relaxation.

The calculation puts the density of states at the Fermi level at 0.0000 states/eV per atom.

Cell lengths 4.6429, 7.8910, 22.7625 Å; angles 90.00, 90.00, 107.11 degrees
Each line ends with the local moment (μB).
Atoms (fractional coordinates):
Cs 0.5000 0.0000 0.0000  0.00
Cs 0.5000 0.0000 0.5000  0.00
Cs 0.0511 0.1023 0.3386  0.00
Cs 0.9489 0.8977 0.6614  0.00
Cs 0.9489 0.8977 0.8386  0.00
Cs 0.0511 0.1023 0.1614  0.00
Cs 0.7714 0.5427 0.4134  0.00
Cs 0.2286 0.4573 0.5866  0.00
Cs 0.2286 0.4573 0.9134  0.00
Cs 0.7714 0.5427 0.0866  0.00
Cs 0.3204 0.6409 0.2500  0.00
Cs 0.6796 0.3591 0.7500  0.00
H 0.8619 0.7239 0.5400  0.00
H 0.4043 0.8087 0.1240  0.00
H 0.1381 0.2761 0.4600  0.00
H 0.5957 0.1913 0.8760  0.00
H 0.8619 0.7239 0.9600  0.00
H 0.1381 0.2761 0.0400  0.00
H 0.5957 0.1913 0.6240  0.00
H 0.4043 0.8087 0.3760  0.00
S 0.6611 0.3221 0.2500  0.07
S 0.3389 0.6779 0.7500  0.07

# 13
DFT (PBE-GGA) results for Cs2H3S2 after structural relaxation.

The calculation puts the density of states at the Fermi level at 0.7311 states/eV per atom.

Cell lengths 6.0016, 4.5973, 6.0352 Å; angles 90.00, 99.11, 90.00 degrees
Atoms (fractional coordinates):
Cs 0.2541 0.5000 0.7462
Cs 0.7459 0.5000 0.2538
H 0.4444 0.0000 0.4451
H 0.0000 0.0000 0.0000
H 0.5556 0.0000 0.5549
S 0.2078 0.0000 0.2049
S 0.7922 0.0000 0.7951

# 14
DFT (PBE-GGA) results for CsHS6 after structural relaxation.

The calculation puts the density of states at the Fermi level at 0.6292 states/eV per atom.

Cell lengths 4.8965, 8.0778, 8.3869 Å; angles 69.06, 48.20, 81.46 degrees
Atoms (fractional coordinates):
Cs 0.0000 0.5000 0.5000
H 0.0000 0.0000 0.0000
S 0.5147 0.9082 0.6211
S 0.4475 0.0506 0.7951
S 0.0683 0.4015 0.0747
S 0.5525 0.9494 0.2049
S 0.4853 0.0918 0.3789
S 0.9317 0.5985 0.9253

# 15
DFT (PBE-GGA) results for CsH6S3 after structural relaxation.

The calculation puts the density of states at the Fermi level at 0.2292 states/eV per atom.

Cell lengths 10.4357, 5.7400, 5.7400 Å; angles 87.08, 127.30, 127.30 degrees
Atoms (fractional coordinates):
Cs 0.4374 0.0000 0.0000
H 0.0389 0.0000 0.4251
H 0.0389 0.4251 0.0000
H 0.8039 0.0000 0.2022
H 0.8039 0.2022 0.0000
H 0.6017 0.7978 0.7978
H 0.6139 0.5749 0.5749
S 0.9467 0.5177 0.0000
S 0.9467 0.0000 0.5177
S 0.4290 0.4823 0.4823

# 16
DFT (PBE-GGA) results for Cs2H2S after structural relaxation.

The value obtained for the energy above the most stable polymorph in this dataset is 230 meV/atom.

Cell lengths 3.5238, 6.7722, 11.8951 Å; angles 87.38, 81.48, 74.92 degrees
Atoms (fractional coordinates):
Cs 0.3353 0.2299 0.0996
Cs 0.5551 0.2250 0.6647
Cs 0.6647 0.7701 0.9004
Cs 0.4449 0.7750 0.3353
H 0.9593 0.1939 0.8874
H 0.1745 0.2695 0.3815
H 0.0407 0.8061 0.1126
H 0.8255 0.7305 0.6185
S 0.6989 0.2431 0.3591
S 0.3011 0.7569 0.6409

# 17
DFT (PBE-GGA) results for Cs2H2S after structural relaxation.

The calculation puts the density of states at the Fermi level at 0.0000 states/eV per atom. The value obtained for the energy above the most stable polymorph in this dataset is 0 meV/atom.

Cell lengths 5.1207, 7.9072, 8.4440 Å; angles 90.00, 90.00, 108.89 degrees
Atoms (fractional coordinates):
Cs 0.2655 0.5311 0.0343
Cs 0.0002 0.0004 0.9143
Cs 0.7345 0.4689 0.5343
Cs 0.9998 0.9996 0.4143
H 0.8356 0.6713 0.1864
H 0.3036 0.6073 0.6771
H 0.1644 0.3287 0.6864
H 0.6964 0.3927 0.1771
S 0.6045 0.2089 0.1732
S 0.3955 0.7911 0.6732

# 18
DFT (PBE-GGA) results for Cs2HS after structural relaxation.

The calculation puts the density of states at the Fermi level at 1.5497 states/eV per atom. The value obtained for the energy above the most stable polymorph in this dataset is 60 meV/atom.

Cell lengths 7.4584, 7.4584, 7.4584 Å; angles 110.60, 110.60, 107.23 degrees
Each line ends with the local moment (μB).
Atoms (fractional coordinates):
Cs 0.3750 0.8360 0.9610  0.02
Cs 0.8750 0.4140 0.0390  0.02
Cs 0.1640 0.1250 0.5390  0.02
Cs 0.5860 0.6250 0.4610  0.02
H 0.5000 0.5000 0.0000  0.09
H 0.2500 0.7500 0.5000  0.09
S 0.0000 0.0000 0.0000  0.40
S 0.7500 0.2500 0.5000  0.40

# 19
DFT (PBE-GGA) results for Cs8H2S after structural relaxation.

The calculation puts the density of states at the Fermi level at 0.7222 states/eV per atom.

Cell lengths 8.3668, 10.1260, 10.1260 Å; angles 83.52, 86.97, 86.97 degrees
Atoms (fractional coordinates):
Cs 0.7783 0.0657 0.7305
Cs 0.2217 0.2695 0.9343
Cs 0.7389 0.1839 0.1839
Cs 0.2611 0.8161 0.8161
Cs 0.7783 0.7305 0.0657
Cs 0.2217 0.9343 0.2695
Cs 0.2740 0.3812 0.3812
Cs 0.7260 0.6188 0.6188
H 0.3827 0.1909 0.1909
H 0.6173 0.8091 0.8091
S 0.0000 0.0000 0.0000

# 20
DFT (PBE-GGA) results for Cs2HS after structural relaxation.

The calculation puts the density of states at the Fermi level at 0.8798 states/eV per atom. The value obtained for the energy above the most stable polymorph in this dataset is 0 meV/atom.

Cell lengths 5.8151, 5.8151, 5.8151 Å; angles 60.00, 60.00, 60.00 degrees
Each line ends with the local moment (μB).
Atoms (fractional coordinates):
Cs 0.2500 0.2500 0.2500  0.01
Cs 0.7500 0.7500 0.7500  0.01
H 0.0000 0.0000 0.0000  0.18
S 0.5000 0.5000 0.5000  0.30

# 21
DFT (PBE-GGA) results for CsH3S2 after structural relaxation.

The calculation puts the density of states at the Fermi level at 0.1971 states/eV per atom.

Cell lengths 3.3210, 6.9688, 12.4837 Å; angles 73.03, 97.64, 90.00 degrees
Atoms (fractional coordinates):
Cs 0.3141 0.1845 0.6282
Cs 0.6859 0.8155 0.3718
H 0.1720 0.3420 0.3439
H 0.9916 0.8269 0.9831
H 0.4438 0.7420 0.8877
H 0.8280 0.6580 0.6561
H 0.5562 0.2580 0.1123
H 0.0084 0.1731 0.0169
S 0.3131 0.6842 0.6263
S 0.6869 0.3158 0.3737
S 0.9404 0.7941 0.8808
S 0.0596 0.2059 0.1192

# 22
DFT (PBE-GGA) results for Cs3HS after structural relaxation.

The calculation puts the density of states at the Fermi level at 0.0000 states/eV per atom. The value obtained for the energy above the most stable polymorph in this dataset is 68 meV/atom.

Cell lengths 5.7006, 5.7006, 5.7006 Å; angles 90.00, 90.00, 90.00 degrees
Atoms (fractional coordinates):
Cs 0.0000 0.5000 0.0000
Cs 0.0000 0.0000 0.5000
Cs 0.5000 0.0000 0.0000
H 0.0000 0.0000 0.0000
S 0.5000 0.5000 0.5000

# 23
DFT (PBE-GGA) results for Cs2SiH5S after structural relaxation.

The calculation puts the density of states at the Fermi level at 0.3937 states/eV per atom.

Cell lengths 6.1321, 6.1321, 6.1321 Å; angles 98.38, 115.28, 115.28 degrees
Each line ends with the local moment (μB).
Atoms (fractional coordinates):
Cs 0.5000 0.2742 0.7742  0.01
Cs 0.5000 0.7742 0.2742  0.01
Si 0.0000 0.0155 0.0155  -0.01
H 0.3422 0.1777 0.1777  0.04
H 0.6578 0.8354 0.8354  0.04
H 0.0000 0.8354 0.1777  0.04
H 0.0000 0.1777 0.8354  0.04
H 0.0000 0.2120 0.2120  0.02
S 0.0000 0.6979 0.6979  0.41

Number 1: total magnetic moment 0.000 μB per atom, volume 17.89 Å³ per atom, raw total energy -3.364 eV per atom. Number 2: total magnetic moment 0.000 μB per atom, volume 26.00 Å³ per atom, raw total energy -3.294 eV per atom. Number 3: total magnetic moment 0.250 μB per atom, volume 23.68 Å³ per atom, raw total energy -2.984 eV per atom. Number 4: total magnetic moment 0.000 μB per atom, volume 28.42 Å³ per atom, raw total energy -3.709 eV per atom. Number 5: total magnetic moment 0.000 μB per atom, volume 49.06 Å³ per atom, raw total energy -2.650 eV per atom. Number 6: total magnetic moment 0.000 μB per atom, volume 32.13 Å³ per atom, raw total energy -2.856 eV per atom. Number 7: total magnetic moment 0.020 μB per atom, volume 39.57 Å³ per atom, raw total energy -2.629 eV per atom. Number 8: total magnetic moment 0.000 μB per atom, volume 19.06 Å³ per atom, raw total energy -2.783 eV per atom. Number 9: total magnetic moment 0.000 μB per atom, volume 33.94 Å³ per atom, raw total energy -3.314 eV per atom. Number 10: total magnetic moment 0.105 μB per atom, volume 21.15 Å³ per atom, raw total energy -3.181 eV per atom. Number 11: total magnetic moment 0.000 μB per atom, volume 34.80 Å³ per atom, raw total energy -3.561 eV per atom. Number 12: total magnetic moment 0.012 μB per atom, volume 36.23 Å³ per atom, raw total energy -2.445 eV per atom. Number 13: total magnetic moment 0.000 μB per atom, volume 23.49 Å³ per atom, raw total energy -3.300 eV per atom. Number 14: total magnetic moment 0.000 μB per atom, volume 28.63 Å³ per atom, raw total energy -3.768 eV per atom. Number 15: total magnetic moment 0.000 μB per atom, volume 18.84 Å³ per atom, raw total energy -3.505 eV per atom. Number 16: total magnetic moment 0.000 μB per atom, volume 27.11 Å³ per atom, raw total energy -2.819 eV per atom. Number 17: total magnetic moment 0.000 μB per atom, volume 32.35 Å³ per atom, raw total energy -3.049 eV per atom. Number 18: total magnetic moment 0.251 μB per atom, volume 39.88 Å³ per atom, raw total energy -2.531 eV per atom. Number 19: total magnetic moment 0.000 μB per atom, volume 77.30 Å³ per atom, raw total energy -1.891 eV per atom. Number 20: total magnetic moment 0.250 μB per atom, volume 34.76 Å³ per atom, raw total energy -2.591 eV per atom. Number 21: total magnetic moment 0.004 μB per atom, volume 22.80 Å³ per atom, raw total energy -3.393 eV per atom. Number 22: total magnetic moment 0.000 μB per atom, volume 37.05 Å³ per atom, raw total energy -2.561 eV per atom. Number 23: total magnetic moment 0.117 μB per atom, volume 19.19 Å³ per atom, raw total energy -3.283 eV per atom.